Entry 1:
Density functional theory data (PBE with a Hubbard U) for a geometry-optimized BaSrEuWO6 structure.

Values from the calculation:
Energy relative to the lowest polymorph listed for this composition in kcal/mol of atoms: 1.05
DOS(E_F) in states/eV per cell: 43.91
Magnetic moment in μB/f.u.: 7.0
Uncorrected energy in eV per atom: -7.7215

Lattice parameters (Å, degrees): 8.6013 8.6013 8.6013 90.00 90.00 90.00
Space group F-43m (No. 216)
One atom of each set of equivalent atoms:
Ba 0.0000 0.0000 0.0000
Sr 0.0000 0.0000 0.5000
Eu 0.2500 0.2500 0.7500
W 0.2500 0.2500 0.2500
O 0.0215 0.2500 0.2500

Entry 2:
Density functional theory data (PBE with a Hubbard U) for a geometry-optimized BaSrEuWO6 structure.

Values from the calculation:
Energy relative to the lowest polymorph listed for this composition in kcal/mol of atoms: 0.49
DOS(E_F) in states/eV per cell: 23.69
Magnetic moment in μB/f.u.: 7.0
Uncorrected energy in eV per atom: -7.7458

Lattice parameters (Å, degrees): 6.0128 6.1359 8.5935 90.78 91.09 90.03
Space group P-1 (No. 2)
One atom of each set of equivalent atoms:
Ba 0.0043 0.0361 0.2516
Sr 0.0000 0.5000 0.5000
Sr 0.5000 0.0000 0.0000
Eu 0.4797 0.5440 0.2528
W 0.0000 0.5000 0.0000
W 0.5000 0.0000 0.5000
O 0.1137 0.5126 0.7846
O 0.1893 0.7508 0.0568
O 0.2313 0.8222 0.4693
O 0.2503 0.3101 0.0606
O 0.3334 0.2685 0.4424
O 0.4285 0.0550 0.7194

Entry 3:
Density functional theory data (PBE with a Hubbard U) for a geometry-optimized BaSrEuWO6 structure.

Values from the calculation:
Energy relative to the lowest polymorph listed for this composition in kcal/mol of atoms: 0.30
DOS(E_F) in states/eV per cell: 31.81
Magnetic moment in μB/f.u.: 7.0
Uncorrected energy in eV per atom: -7.7539

Lattice parameters (Å, degrees): 5.9950 5.9950 8.7111 90.00 90.00 90.00
Space group P-4n2 (No. 118)
One atom of each set of equivalent atoms:
Ba 0.0000 0.5000 0.2500
Sr 0.0000 0.5000 0.7500
Eu 0.0000 0.0000 0.0000
W 0.0000 0.0000 0.5000
O 0.0000 0.0000 0.2722
O 0.1655 0.2835 0.5109

Entry 4:
Density functional theory data (PBE with a Hubbard U) for a geometry-optimized BaTbEuVO6 structure.

Values from the calculation:
DOS(E_F) in states/eV per cell: 66.61
Magnetic moment in μB/f.u.: 7.0
Uncorrected energy in eV per atom: -8.1199

Lattice parameters (Å, degrees): 8.2931 8.2931 8.2931 90.00 90.00 90.00
Space group F-43m (No. 216)
One atom of each set of equivalent atoms:
Ba 0.0000 0.0000 0.0000
Tb 0.2500 0.2500 0.2500
Eu 0.0000 0.0000 0.5000
V 0.2500 0.2500 0.7500
O 0.0192 0.2500 0.7500

Entry 5:
Density functional theory data (PBE with a Hubbard U) for a geometry-optimized BaEuV4O12 structure.

Values from the calculation:
DOS(E_F) in states/eV per cell: 12.48
Magnetic moment in μB/f.u.: 6.6
Uncorrected energy in eV per atom: -7.6908

Lattice parameters (Å, degrees): 5.4001 5.4001 7.6124 90.00 90.00 90.00
Space group P4/mmm (No. 123)
One atom of each set of equivalent atoms:
Ba 0.0000 0.0000 0.0000
Eu 0.5000 0.5000 0.5000
V 0.0000 0.5000 0.2526
O 0.0000 0.5000 0.0000
O 0.0000 0.5000 0.5000
O 0.2541 0.2541 0.2583

Entry 6:
Density functional theory data (PBE with a Hubbard U) for a geometry-optimized BaEuYVO6 structure.

Values from the calculation:
DOS(E_F) in states/eV per cell: 66.93
Magnetic moment in μB/f.u.: 7.0
Uncorrected energy in eV per atom: -8.3038

Lattice parameters (Å, degrees): 8.2774 8.2774 8.2774 90.00 90.00 90.00
Space group F-43m (No. 216)
One atom of each set of equivalent atoms:
Ba 0.0000 0.0000 0.0000
Eu 0.0000 0.0000 0.5000
Y 0.2500 0.2500 0.7500
V 0.2500 0.2500 0.2500
O 0.0187 0.2500 0.2500

Q: uncorrected energy of number 2 (BaSrEuWO6)?
A: -7.7458 eV per atom

Q: Which of these has the lowest magnetic moment?
A: BaEuV4O12